No. 1
The following is a DFT calculation (GGA-PBEsol) of a geometry-optimized CdAs2Pb structure.

It has space group C2/m (No. 12), with a = 12.245 Å, b = 3.485 Å, c = 5.128 Å, α = 90.00°, β = 112.12° and γ = 90.00°. Symmetry generates all atoms from Cd at (0.000, 0.000, 0.000), As at (0.241, 0.000, 0.157) and Pb at (0.000, 0.500, 0.500).

As for the electronic total energy: -3.78 eV per atom. The density of states at the Fermi level comes out at 3.21 states/eV per cell.


No. 2
The following is a DFT calculation (GGA-PBEsol) of a geometry-optimized CdAs2Pb structure.

It has space group Pmm2 (No. 25), with a = 5.509 Å, b = 5.511 Å, c = 3.038 Å, α = 90.00°, β = 90.00° and γ = 90.00°. Symmetry generates all atoms from Cd at (0.000, 0.000, 0.000), As at (0.000, 0.500, 0.811), As at (0.500, 0.000, 0.193) and Pb at (0.500, 0.500, 0.502).

As for the electronic total energy: -3.72 eV per atom. The density of states at the Fermi level comes out at 1.84 states/eV per cell.


No. 3
The following is a DFT calculation (GGA-PBEsol) of a geometry-optimized CdAs2Pb structure.

It has space group Imm2 (No. 44), with a = 3.534 Å, b = 5.268 Å, c = 9.878 Å, α = 90.00°, β = 90.00° and γ = 90.00°. Symmetry generates all atoms from Cd at (0.000, 0.000, 0.000), As at (0.000, 0.000, 0.568), As at (0.000, 0.500, 0.253) and Pb at (0.000, 0.500, 0.778).

As for the electronic total energy: -3.74 eV per atom. The density of states at the Fermi level comes out at 2.99 states/eV per cell.


No. 4
The following is a DFT calculation (GGA-PBEsol) of a geometry-optimized CdAsPb structure.

It has space group Imm2 (No. 44), with a = 3.289 Å, b = 3.788 Å, c = 11.334 Å, α = 90.00°, β = 90.00° and γ = 90.00°. Symmetry generates all atoms from Cd at (0.000, 0.000, 0.000), As at (0.000, 0.000, 0.370) and Pb at (0.000, 0.000, 0.696).

As for the electronic total energy: -3.30 eV per atom. The density of states at the Fermi level comes out at 3.06 states/eV per cell.


No. 5
The following is a DFT calculation (GGA-PBEsol) of a geometry-optimized Cd2AsPb structure.

It has space group C2/m (No. 12), with a = 5.942 Å, b = 11.362 Å, c = 3.210 Å, α = 90.00°, β = 120.63° and γ = 90.00°. Symmetry generates all atoms from Cd at (0.250, 0.250, 0.000), As at (0.000, 0.000, 0.000) and Pb at (0.000, 0.500, 0.000).

As for the electronic total energy: -2.71 eV per atom. The density of states at the Fermi level comes out at 3.41 states/eV per cell.


No. 6
The following is a DFT calculation (GGA-PBEsol) of a geometry-optimized Cd2AsPb structure.

It has space group Imm2 (No. 44), with a = 3.844 Å, b = 4.183 Å, c = 12.016 Å, α = 90.00°, β = 90.00° and γ = 90.00°. Symmetry generates all atoms from Cd at (0.000, 0.000, 0.000), Cd at (0.000, 0.500, 0.182), As at (0.000, 0.000, 0.493) and Pb at (0.000, 0.500, 0.795).

As for the electronic total energy: -2.78 eV per atom. The density of states at the Fermi level comes out at 2.77 states/eV per cell.


Which formula does entry 3 have? CdAs2Pb